# 1
## Ca2IrRhO6 (PBE-GGA)

Data for Ca2IrRhO6 after structural relaxation.

Cell: 4.0547 5.5925 5.5925 Å, 90.00 90.00 90.00°
With the nearest neighbours (Å) after each atom.
Sites, in units of the cell vectors:
Ca 0.0499 0.5000 0.0000  4 O 2.43
Ca 0.0499 0.0000 0.5000  4 O 2.43
Ir 0.6294 0.0000 0.0000  6 O 1.95-2.10
Rh 0.6245 0.5000 0.5000  6 O 1.95-2.10
O 0.7005 0.2473 0.2473  1 Ir 1.98, 1 Rh 2.02
O 0.7005 0.2473 0.7527  1 Ir 1.98, 1 Rh 2.02
O 0.1432 0.5000 0.5000  2 Rh 1.95-2.10
O 0.1481 0.0000 0.0000  2 Ir 1.95-2.10
O 0.7005 0.7527 0.7527  1 Ir 1.98, 1 Rh 2.02
O 0.7005 0.7527 0.2473  1 Ir 1.98, 1 Rh 2.02

Calculated values
Density: 6.2 g/cm³
Formation energy from raw total energies: -1442 meV per atom
Energy above the lowest structure with this stoichiometry: 243 meV/atom
Space group: P4mm (99)
Calculated total energy: -64.39 eV per cell

=====

# 2
## CaIrRhO6 (PBE-GGA)

Data for CaIrRhO6 after structural relaxation.

Cell: 5.2731 5.2731 9.8584 Å, 90.00 90.00 120.00°
With the nearest neighbours (Å) after each atom.
Sites, in units of the cell vectors:
Ca 0.0000 0.0000 0.0000  6 O 2.41
Ca 0.0000 0.0000 0.5000  6 O 2.41
Ir 0.6667 0.3333 0.2500  6 O 1.95
Ir 0.3333 0.6667 0.7500  6 O 1.95
Rh 0.3333 0.6667 0.2500  6 O 2.00
Rh 0.6667 0.3333 0.7500  6 O 2.00
O 0.6324 0.6259 0.1426  1 Ir 1.95, 1 Rh 2.00
O 0.9935 0.3676 0.1426  1 Ir 1.95, 1 Rh 2.00
O 0.3676 0.9935 0.6426  1 Ir 1.95, 1 Rh 2.00
O 0.0065 0.6324 0.8574  1 Ir 1.95, 1 Rh 2.00
O 0.3741 0.3676 0.3574  1 Ir 1.95, 1 Rh 2.00
O 0.9935 0.6259 0.3574  1 Ir 1.95, 1 Rh 2.00
O 0.6259 0.9935 0.8574  1 Ir 1.95, 1 Rh 2.00
O 0.6324 0.0065 0.3574  1 Ir 1.95, 1 Rh 2.00
O 0.0065 0.3741 0.6426  1 Ir 1.95, 1 Rh 2.00
O 0.3741 0.0065 0.1426  1 Ir 1.95, 1 Rh 2.00
O 0.6259 0.6324 0.6426  1 Ir 1.95, 1 Rh 2.00
O 0.3676 0.3741 0.8574  1 Ir 1.95, 1 Rh 2.00

Calculated values
Density: 6.0 g/cm³
Formation energy from raw total energies: -1221 meV per atom
Space group: P-31c (163)
Calculated total energy: -117.90 eV per cell

=====

# 3
## Ca2IrRhO6 (PBE-GGA)

Data for Ca2IrRhO6 after structural relaxation.

Cell: 5.2021 5.2021 7.3737 Å, 89.89 89.89 35.66°
With the nearest neighbours (Å) after each atom.
Sites, in units of the cell vectors:
Ca 0.7504 0.7504 0.2423  8 O 2.34-2.60
Ca 0.2496 0.2496 0.7577  8 O 2.34-2.60
Ir 0.0000 0.0000 0.5000  6 O 1.97-2.05
Rh 0.0000 0.0000 0.0000  6 O 2.02-2.07
O 0.0777 0.0777 0.2537  1 Ir 1.97, 1 Rh 2.02
O 0.9223 0.9223 0.7463  1 Ir 1.97, 1 Rh 2.02
O 0.3717 0.3717 0.0501  2 Rh 2.07
O 0.6283 0.6283 0.9499  2 Rh 2.07
O 0.3757 0.3757 0.4478  2 Ir 2.05
O 0.6243 0.6243 0.5522  2 Ir 2.05

Calculated values
Density: 6.7 g/cm³
Formation energy from raw total energies: -1685 meV per atom
Energy above the lowest structure with this stoichiometry: 0 meV/atom
Space group: C2/m (12)
Calculated total energy: -66.81 eV per cell

=====

# 4
## Ca2IrRuO6 (PBE-GGA)

Data for Ca2IrRuO6 after structural relaxation.

Cell: 4.0138 5.5999 5.5999 Å, 90.00 90.00 90.00°
With the nearest neighbours (Å) after each atom.
Sites, in units of the cell vectors:
Ca 0.0546 0.5000 0.0000  4 O 2.46
Ca 0.0546 0.0000 0.5000  4 O 2.46
Ir 0.6378 0.5000 0.5000  6 O 1.97-2.04
Ru 0.6320 0.0000 0.0000  6 O 1.93-2.09
O 0.6923 0.2487 0.2487  1 Ru 1.98, 1 Ir 2.00
O 0.6923 0.2487 0.7513  1 Ru 1.98, 1 Ir 2.00
O 0.1470 0.5000 0.5000  2 Ir 1.97-2.04
O 0.1516 0.0000 0.0000  2 Ru 1.93-2.09
O 0.6923 0.7513 0.7513  1 Ru 1.98, 1 Ir 2.00
O 0.6923 0.7513 0.2487  1 Ru 1.98, 1 Ir 2.00

Calculated values
Density: 6.2 g/cm³
Formation energy from raw total energies: -1530 meV per atom
Space group: P4mm (99)
Calculated total energy: -67.19 eV per cell